Record 1
Entry from Alexandria via LeMat-Bulk: a relaxed Cd8Ni crystal (GGA-PBE).

Output
* energy relative to the elements: 0.07 eV per atom

abc: 4.3715 6.8758 6.8758
angles: 95.80 108.54 71.46
Closest atoms and distances in Å follow each position.
Fractional coordinates of all 9 atoms:
Cd: 0.3236 0.6764 0.3236  1 Ni 2.98, 11 Cd 3.04-3.25
Cd: 0.6764 0.3236 0.6764  1 Ni 2.98, 11 Cd 3.04-3.25
Cd: 0.0000 0.6764 0.6764  1 Ni 2.98, 11 Cd 3.04-3.25
Cd: 0.3412 0.3175 0.0000  10 Cd 2.93-3.23, 2 Ni 3.01
Cd: 0.6588 0.0000 0.3175  10 Cd 2.93-3.23, 2 Ni 3.01
Cd: 0.0000 0.3236 0.3236  1 Ni 2.98, 11 Cd 3.04-3.25
Cd: 0.3412 0.0000 0.6825  10 Cd 2.93-3.23, 2 Ni 3.01
Cd: 0.6588 0.6825 0.0000  10 Cd 2.93-3.23, 2 Ni 3.01
Ni: 0.0000 0.0000 0.0000  12 Cd 2.98-3.01

---

Record 2
Entry from Alexandria via LeMat-Bulk: a relaxed Ba3AgB crystal (GGA-PBE).

Output
* relative energy among the computed polymorphs: 0.000 eV per atom
* energy relative to the elements: 0.37 eV per atom

abc: 5.9315 5.9315 5.9315
angles: 90.00 90.00 90.00
Closest atoms and distances in Å follow each position.
Fractional coordinates of all 5 atoms:
B: 0.0000 0.0000 0.0000  6 Ba 2.97
Ba: 0.0000 0.5000 0.0000  2 B 2.97
Ba: 0.0000 0.0000 0.5000  2 B 2.97
Ba: 0.5000 0.0000 0.0000  2 B 2.97
Ag: 0.5000 0.5000 0.5000  12 Ba 4.19